[1]
Entry from Alexandria via LeMat-Bulk: a relaxed structure of TaSi2Se (PBE-GGA).

* electronic total energy: -46.88 eV per cell
* Fermi-level density of states: 10.74 states/eV per cell
* uncorrected formation energy: 66 kJ/mol of atoms

Lattice parameters (Å, degrees): 6.058 6.058 6.731 63.25 63.25 90.00
Sites, in units of the cell vectors:
Se: 0.500 0.500 0.000
Se: 0.250 0.750 0.500
Si: 0.375 0.377 0.750
Ta: 0.000 0.000 0.000
Si: 0.875 0.873 0.750
Ta: 0.750 0.250 0.500
Si: 0.623 0.125 0.250
Si: 0.127 0.625 0.250


[2]
Entry from Alexandria via LeMat-Bulk: a relaxed structure of CoSiPt2 (PBE-GGA).

* electronic total energy: -25.44 eV per cell
* Fermi-level density of states: 3.90 states/eV per cell
* uncorrected formation energy: -20 kJ/mol of atoms

Lattice parameters (Å, degrees): 2.829 2.829 6.942 90.00 90.00 90.00
Sites, in units of the cell vectors:
Co: 0.500 0.500 0.750
Si: 0.500 0.500 0.250
Pt: 0.000 0.000 0.483
Pt: 0.000 0.000 0.017


[3]
Entry from Alexandria via LeMat-Bulk: a relaxed structure of KZrW2 (PBE-GGA).

* electronic total energy: -30.41 eV per cell
* Fermi-level density of states: 3.14 states/eV per cell
* excess energy over the best structure of this formula in the dataset: 0.6019 eV per atom

Lattice parameters (Å, degrees): 6.000 6.000 2.706 85.97 85.97 124.04
Sites, in units of the cell vectors:
W: 0.000 0.000 0.000
W: 0.500 0.500 0.000
K: 0.000 0.500 0.500
Zr: 0.500 0.000 0.500